No. 1
Entry from Alexandria via LeMat-Bulk: a geometry-optimized Ga2HgHPd structure (PBE).

Unit cell a=5.084 b=5.084 c=3.477 alpha=90.00 beta=90.00 gamma=90.00
Fractional coordinates of all 5 atoms:
Ga (0.000, 0.500, 0.000)
Ga (0.500, 0.000, 0.000)
Hg (0.000, 0.000, 0.500)
H (0.500, 0.500, 0.500)
Pd (0.500, 0.500, 0.000)

Output
* VASP energy: -0.1100 hartree per atom
* total magnetization: 0.0 μB/cell
* crystal system: tetragonal



No. 2
Entry from Alexandria via LeMat-Bulk: a geometry-optimized Tb2PmDy6 structure (PBE).

Unit cell a=6.005 b=6.005 c=15.245 alpha=100.13 beta=100.13 gamma=33.39
Fractional coordinates of all 9 atoms:
Tb (0.168, 0.168, 0.166)
Tb (0.832, 0.832, 0.834)
Pm (0.500, 0.500, 0.500)
Dy (0.126, 0.126, 0.937)
Dy (0.207, 0.207, 0.395)
Dy (0.460, 0.460, 0.268)
Dy (0.540, 0.540, 0.732)
Dy (0.793, 0.793, 0.605)
Dy (0.874, 0.874, 0.063)

Output
* E_form: 0.20 eV per atom
* E above lowest polymorph: 182 meV/atom
* total magnetization: 0.0 μB/cell
* crystal system: monoclinic



No. 3
Entry from Alexandria via LeMat-Bulk: a geometry-optimized TbPmPr2Ho2 structure (PBE).

Unit cell a=5.722 b=9.919 c=7.048 alpha=90.00 beta=90.00 gamma=90.00
Fractional coordinates of all 12 atoms:
Tb (0.000, 0.164, 0.000)
Tb (0.000, 0.836, 0.500)
Pm (0.500, 0.000, 0.250)
Pm (0.500, 0.000, 0.750)
Pr (0.000, 0.500, 0.251)
Pr (0.000, 0.500, 0.751)
Pr (0.500, 0.330, 0.501)
Pr (0.500, 0.670, 0.001)
Ho (0.000, 0.167, 0.500)
Ho (0.000, 0.833, 0.000)
Ho (0.500, 0.334, 0.001)
Ho (0.500, 0.666, 0.501)

Output
* E_form: 0.07 eV per atom
* total magnetization: 0.0 μB/cell
* crystal system: orthorhombic



No. 4
Entry from Alexandria via LeMat-Bulk: a geometry-optimized PrDyAlTl structure (PBE).

Unit cell a=5.351 b=5.351 c=5.351 alpha=60.00 beta=60.00 gamma=60.00
Fractional coordinates of all 4 atoms:
Pr (0.000, 0.000, 0.000)
Dy (0.500, 0.500, 0.500)
Al (0.250, 0.250, 0.250)
Tl (0.750, 0.750, 0.750)

Output
* E_form: -0.33 eV per atom
* E above lowest polymorph: 30 meV/atom
* total magnetization: 0.0 μB/cell
* crystal system: cubic



No. 5
Entry from Alexandria via LeMat-Bulk: a geometry-optimized ScCdSb2I structure (PBE).

Unit cell a=5.601 b=5.601 c=5.632 alpha=90.00 beta=90.00 gamma=90.00
Fractional coordinates of all 5 atoms:
Sc (0.000, 0.000, 0.000)
Cd (0.500, 0.500, 0.500)
Sb (0.000, 0.500, 0.000)
Sb (0.500, 0.000, 0.000)
I (0.000, 0.000, 0.500)

Output
* E above lowest polymorph: 0 meV/atom
* total magnetization: 0.0 μB/cell
* crystal system: tetragonal



No. 6
Entry from Alexandria via LeMat-Bulk: a geometry-optimized GaTcSb3 structure (PBE).

Unit cell a=5.219 b=5.219 c=5.219 alpha=90.00 beta=90.00 gamma=90.00
Fractional coordinates of all 5 atoms:
Ga (0.000, 0.000, 0.000)
Tc (0.500, 0.500, 0.500)
Sb (0.000, 0.000, 0.500)
Sb (0.000, 0.500, 0.000)
Sb (0.500, 0.000, 0.000)

Output
* E above lowest polymorph: 770 meV/atom
* total magnetization: 3.0 μB/cell
* crystal system: cubic



No. 7
Entry from Alexandria via LeMat-Bulk: a geometry-optimized Ac2Pr5NdSm structure (PBE).

Unit cell a=10.903 b=10.903 c=11.077 alpha=90.00 beta=90.00 gamma=148.49
Fractional coordinates of all 18 atoms:
Ac (0.114, 0.886, 0.500)
Ac (0.118, 0.882, 0.089)
Ac (0.882, 0.118, 0.589)
Ac (0.886, 0.114, 0.000)
Pr (0.019, 0.981, 0.791)
Pr (0.282, 0.718, 0.080)
Pr (0.295, 0.705, 0.470)
Pr (0.392, 0.608, 0.791)
Pr (0.482, 0.518, 0.511)
Pr (0.518, 0.482, 0.011)
Pr (0.608, 0.392, 0.291)
Pr (0.705, 0.295, 0.970)
Pr (0.718, 0.282, 0.580)
Pr (0.981, 0.019, 0.291)
Nd (0.410, 0.590, 0.232)
Nd (0.590, 0.410, 0.732)
Sm (0.207, 0.793, 0.776)
Sm (0.793, 0.207, 0.276)

Output
* E_form: 0.12 eV per atom
* total magnetization: 0.0 μB/cell
* crystal system: orthorhombic



No. 8
Entry from Alexandria via LeMat-Bulk: a geometry-optimized Tb6Sm2Ho3Zr structure (PBE).

Unit cell a=6.107 b=6.107 c=11.686 alpha=94.96 beta=94.96 gamma=119.92
Fractional coordinates of all 12 atoms:
Tb (0.082, 0.409, 0.747)
Tb (0.244, 0.244, 0.253)
Tb (0.409, 0.082, 0.747)
Tb (0.591, 0.918, 0.253)
Tb (0.756, 0.756, 0.747)
Tb (0.918, 0.591, 0.253)
Sm (0.333, 0.667, 0.500)
Sm (0.667, 0.333, 0.500)
Ho (0.166, 0.834, 0.000)
Ho (0.500, 0.500, 0.000)
Ho (0.834, 0.166, 0.000)
Zr (0.000, 0.000, 0.500)

Output
* E_form: 0.05 eV per atom
* total magnetization: 0.0 μB/cell
* crystal system: monoclinic



No. 9
Entry from Alexandria via LeMat-Bulk: a geometry-optimized AcTl6Hg structure (PBE).

Unit cell a=5.515 b=6.926 c=6.926 alpha=68.43 beta=90.00 gamma=90.00
Fractional coordinates of all 8 atoms:
Ac (0.000, 0.000, 0.000)
Tl (0.000, 0.000, 0.500)
Tl (0.000, 0.500, 0.000)
Tl (0.500, 0.236, 0.236)
Tl (0.500, 0.289, 0.713)
Tl (0.500, 0.713, 0.289)
Tl (0.500, 0.765, 0.765)
Hg (0.000, 0.500, 0.500)

Output
* E_form: -0.12 eV per atom
* total magnetization: 0.0 μB/cell
* crystal system: orthorhombic



No. 10
Entry from Alexandria via LeMat-Bulk: a geometry-optimized La2AsPO structure (PBE).

Unit cell a=5.612 b=5.612 c=4.470 alpha=90.00 beta=90.00 gamma=90.00
Fractional coordinates of all 5 atoms:
La (0.000, 0.500, 0.000)
La (0.500, 0.000, 0.000)
As (0.000, 0.000, 0.000)
P (0.000, 0.000, 0.500)
O (0.500, 0.500, 0.500)

Output
* VASP energy: -0.1969 hartree per atom
* total magnetization: 0.0 μB/cell
* crystal system: tetragonal



No. 11
Entry from Alexandria via LeMat-Bulk: a geometry-optimized NaMnSCl2 structure (PBE).

Unit cell a=4.958 b=4.958 c=4.588 alpha=90.00 beta=90.00 gamma=90.00
Fractional coordinates of all 5 atoms:
Na (0.000, 0.000, 0.000)
Mn (0.500, 0.500, 0.500)
S (0.500, 0.500, 0.000)
Cl (0.000, 0.500, 0.500)
Cl (0.500, 0.000, 0.500)

Output
* E above lowest polymorph: 0 meV/atom
* total magnetization: 4.0 μB/cell
* crystal system: tetragonal



No. 12
Entry from Alexandria via LeMat-Bulk: a geometry-optimized Pt2RhW structure (PBE).

Unit cell a=3.914 b=3.914 c=3.989 alpha=90.00 beta=90.00 gamma=90.00
Fractional coordinates of all 4 atoms:
Pt (0.000, 0.500, 0.000)
Pt (0.500, 0.000, 0.000)
Rh (0.000, 0.000, 0.500)
W (0.500, 0.500, 0.500)

Output
* E_form: -0.15 eV per atom
* E above lowest polymorph: 156 meV/atom
* total magnetization: 1.0 μB/cell
* crystal system: tetragonal



No. 13
Entry from Alexandria via LeMat-Bulk: a geometry-optimized TlH8Ir2Pd structure (PBE).

Unit cell a=7.090 b=7.090 c=7.090 alpha=40.64 beta=40.64 gamma=40.64
Fractional coordinates of all 12 atoms:
Tl (0.000, 0.000, 0.000)
H (0.114, 0.448, 0.795)
H (0.205, 0.886, 0.552)
H (0.275, 0.275, 0.275)
H (0.448, 0.795, 0.114)
H (0.552, 0.205, 0.886)
H (0.725, 0.725, 0.725)
H (0.795, 0.114, 0.448)
H (0.886, 0.552, 0.205)
Ir (0.193, 0.193, 0.193)
Ir (0.807, 0.807, 0.807)
Pd (0.500, 0.500, 0.500)

Output
* VASP energy: -0.1556 hartree per atom
* total magnetization: 0.0 μB/cell
* crystal system: trigonal



No. 14
Entry from Alexandria via LeMat-Bulk: a geometry-optimized PmPuC structure (PBE).

Unit cell a=3.505 b=3.505 c=6.454 alpha=90.00 beta=90.00 gamma=120.00
Fractional coordinates of all 3 atoms:
Pm (0.000, 0.000, 0.000)
Pu (0.333, 0.667, 0.445)
C (0.667, 0.333, 0.240)

Output
* E_form: 0.00 eV per atom
* E above lowest polymorph: 6 meV/atom
* total magnetization: 5.4 μB/cell
* crystal system: trigonal